Entry 1:
Below is a relaxed structure of Sr4TeAsI2, with properties calculated at the PBE level.

Output
The total moment comes out at 0.00 μB per formula unit. Its final energy is -3.65 eV per atom. As for the uncorrected formation energy: -1116 kJ/mol of formula units.

Lattice parameters (Å, degrees): 4.6736 8.1767 8.2148 109.09 90.00 90.00
Closest atoms and distances in Å follow each position.
Fractional positions:
Sr: 0.5000 0.2575 0.2173  1 As 3.07, 2 Te 3.26, 2 I 3.43
Sr: 0.5000 0.7425 0.7827  1 As 3.07, 2 Te 3.26, 2 I 3.43
Sr: 0.0000 0.2801 0.7917  2 As 3.10, 1 Te 3.28, 1 I 3.43
Sr: 0.0000 0.7199 0.2083  2 As 3.10, 1 Te 3.28, 1 I 3.43
Te: 0.0000 0.0000 0.0000  6 Sr 3.26-3.28
As: 0.5000 0.5000 0.0000  6 Sr 3.07-3.10
I: 0.5000 0.0000 0.5000  6 Sr 3.59-3.61
I: 0.0000 0.5000 0.5000  6 Sr 3.43


Entry 2:
Below is a relaxed structure of ReSb3Te, with properties calculated at the PBE level.

Output
The total moment comes out at 3.28 μB per formula unit. Its final energy is -3.68 eV per atom. As for the uncorrected formation energy: 924 kJ/mol of formula units. The value obtained for the energy above the lowest structure with this stoichiometry is 1.445 eV/atom.

Lattice parameters (Å, degrees): 5.6332 5.6332 5.6332 90.00 90.00 90.00
Closest atoms and distances in Å follow each position.
Fractional positions:
Re: 0.5000 0.5000 0.5000  12 Sb 3.98
Te: 0.0000 0.0000 0.0000  6 Sb 2.82
Sb: 0.0000 0.5000 0.0000  2 Te 2.82
Sb: 0.0000 0.0000 0.5000  2 Te 2.82
Sb: 0.5000 0.0000 0.0000  2 Te 2.82


Entry 3:
Below is a relaxed structure of DyMg3Co, with properties calculated at the PBE level.

Output
The total moment comes out at 0.00 μB per formula unit. Its final energy is -3.36 eV per atom.

Lattice parameters (Å, degrees): 5.2030 5.8266 8.2212 90.00 121.95 90.00
Closest atoms and distances in Å follow each position.
Fractional positions:
Dy: 0.7344 0.9476 0.8704  2 Co 2.69-2.79
Dy: 0.3000 0.4476 0.6902  2 Co 2.69-2.79
Mg: 0.9755 0.4476 0.1727  1 Co 2.74, 2 Mg 3.06
Mg: 0.0588 0.9476 0.3879  1 Co 2.74, 2 Mg 3.06
Mg: 0.6531 0.2004 0.4948  2 Co 2.66-2.70, 2 Mg 2.88-2.95
Mg: 0.6531 0.6948 0.4949  2 Co 2.66-2.70, 2 Mg 2.88-2.95
Mg: 0.3812 0.7004 0.0657  2 Co 2.66-2.70, 2 Mg 2.88-2.95
Mg: 0.3812 0.1948 0.0657  2 Co 2.66-2.70, 2 Mg 2.88-2.95
Co: 0.8943 0.4476 0.8145  5 Mg 2.66-2.74, 2 Dy 2.69-2.79
Co: 0.1400 0.9476 0.7461  5 Mg 2.66-2.74, 2 Dy 2.69-2.79


Entry 4:
Below is a relaxed structure of Ba2CoCl6, with properties calculated at the PBE level.

Output
The total moment comes out at 3.00 μB per formula unit. Its final energy is -4.31 eV per atom. As for the uncorrected formation energy: -1619 kJ/mol of formula units. The value obtained for the energy above the lowest structure with this stoichiometry is 0.000 eV/atom.

Lattice parameters (Å, degrees): 6.7326 7.9565 9.6446 90.00 88.39 90.00
Closest atoms and distances in Å follow each position.
Fractional positions:
Ba: 0.0391 0.6042 0.7430  8 Cl 3.12-3.29
Ba: 0.4609 0.1042 0.7570  8 Cl 3.12-3.29
Ba: 0.5391 0.8958 0.2430  8 Cl 3.12-3.29
Ba: 0.9609 0.3958 0.2570  8 Cl 3.12-3.29
Co: 0.5000 0.5000 0.0000  6 Cl 2.41-2.54
Co: 0.0000 0.0000 0.5000  6 Cl 2.41-2.54
Cl: 0.0898 0.0197 0.2570  1 Co 2.41
Cl: 0.1547 0.2843 0.5500  1 Co 2.54
Cl: 0.1932 0.3422 0.9561  1 Co 2.46
Cl: 0.3068 0.8422 0.5439  1 Co 2.46
Cl: 0.3453 0.7843 0.9500  1 Co 2.54
Cl: 0.4102 0.5197 0.2430  1 Co 2.41
Cl: 0.9102 0.9803 0.7430  1 Co 2.41
Cl: 0.8453 0.7157 0.4500  1 Co 2.54
Cl: 0.8068 0.6578 0.0439  1 Co 2.46
Cl: 0.6932 0.1578 0.4561  1 Co 2.46
Cl: 0.6547 0.2157 0.0500  1 Co 2.54
Cl: 0.5898 0.4803 0.7570  1 Co 2.41


Entry 5:
Below is a relaxed structure of ScHF2, with properties calculated at the PBE level.

Output
The total moment comes out at 0.00 μB per formula unit. Its final energy is -5.62 eV per atom. The value obtained for the energy above the lowest structure with this stoichiometry is 0.000 eV/atom.

Lattice parameters (Å, degrees): 3.7255 3.7255 3.7255 60.00 60.00 60.00
Closest atoms and distances in Å follow each position.
Fractional positions:
Sc: 0.5000 0.5000 0.5000  8 F 2.28
H: 0.0000 0.0000 0.0000  8 F 2.28
F: 0.2500 0.2500 0.2500  4 Sc 2.28, 4 H 2.28
F: 0.7500 0.7500 0.7500  4 Sc 2.28, 4 H 2.28


Entry 6:
Below is a relaxed structure of VSb2OsPt, with properties calculated at the PBE level.

Output
The total moment comes out at 1.41 μB per formula unit. Its final energy is -5.53 eV per atom. As for the uncorrected formation energy: 673 kJ/mol of formula units.

Lattice parameters (Å, degrees): 5.0999 4.6976 5.0999 90.00 90.00 90.00
Closest atoms and distances in Å follow each position.
Fractional positions:
Sb: 0.0000 0.0000 0.5000  2 Pt 2.55
Sb: 0.5000 0.0000 0.0000  2 Pt 2.55
Os: 0.5000 0.5000 0.5000  8 Sb 3.47, 4 V 3.61
Pt: 0.0000 0.0000 0.0000  2 V 2.35, 4 Sb 2.55
V: 0.0000 0.5000 0.0000  2 Pt 2.35


Entry 7:
Below is a relaxed structure of Tm4Cu2Hg, with properties calculated at the PBE level.

Output
The total moment comes out at 0.00 μB per formula unit. Its final energy is -3.85 eV per atom. The value obtained for the energy above the lowest structure with this stoichiometry is 0.111 eV/atom.

Lattice parameters (Å, degrees): 4.7383 4.7383 9.4590 75.50 75.50 60.00
Closest atoms and distances in Å follow each position.
Fractional positions:
Tm: 0.3851 0.3851 0.8446  3 Cu 3.02, 3 Hg 3.08
Tm: 0.2021 0.2021 0.3938  4 Cu 2.80-2.87
Tm: 0.7979 0.7979 0.6062  4 Cu 2.80-2.87
Tm: 0.6149 0.6149 0.1554  3 Cu 3.02, 3 Hg 3.08
Cu: 0.0988 0.0988 0.7035  1 Hg 2.68, 4 Tm 2.80-2.87
Cu: 0.9012 0.9012 0.2965  1 Hg 2.68, 4 Tm 2.80-2.87
Hg: 0.0000 0.0000 0.0000  2 Cu 2.68


Entry 8:
Below is a relaxed structure of BPHPt2, with properties calculated at the PBE level.

Output
The total moment comes out at 0.00 μB per formula unit. Its final energy is -4.69 eV per atom.

Lattice parameters (Å, degrees): 4.2204 3.8720 4.2204 90.00 90.00 90.00
Closest atoms and distances in Å follow each position.
Fractional positions:
P: 0.0000 0.5000 0.0000  2 B 1.94
B: 0.0000 0.0000 0.0000  2 P 1.94, 4 Pt 2.11
Pt: 0.0000 0.0000 0.5000  2 B 2.11
Pt: 0.5000 0.0000 0.0000  2 B 2.11
H: 0.5000 0.5000 0.5000  8 Pt 2.86, 4 P 2.98


Entry 9:
Below is a relaxed structure of Ca2Ge3Pd5, with properties calculated at the PBE level.

Output
The total moment comes out at 0.00 μB per formula unit. Its final energy is -5.07 eV per atom. The value obtained for the energy above the lowest structure with this stoichiometry is 0.000 eV/atom.

Lattice parameters (Å, degrees): 5.9297 8.5337 8.5337 78.50 69.67 69.67
Closest atoms and distances in Å follow each position.
Fractional positions:
Ca: 0.1424 0.5827 0.1325  8 Pd 2.95-3.31, 3 Ge 3.13-3.22
Ca: 0.6424 0.1325 0.5827  8 Pd 2.95-3.31, 3 Ge 3.13-3.22
Ca: 0.8576 0.4173 0.8675  8 Pd 2.95-3.31, 3 Ge 3.13-3.22
Ca: 0.3576 0.8675 0.4173  8 Pd 2.95-3.31, 3 Ge 3.13-3.22
Ge: 0.3591 0.5330 0.7487  5 Pd 2.45-2.51
Ge: 0.8591 0.7487 0.5330  5 Pd 2.45-2.51
Ge: 0.6409 0.4670 0.2513  5 Pd 2.45-2.51
Ge: 0.1409 0.2513 0.4670  5 Pd 2.45-2.51
Ge: 0.2500 0.0000 0.0000  6 Pd 2.60-2.61
Ge: 0.7500 0.0000 0.0000  6 Pd 2.60-2.61
Pd: 0.4106 0.2614 0.9174  3 Ge 2.45-2.60
Pd: 0.9106 0.9174 0.2614  3 Ge 2.45-2.60
Pd: 0.5894 0.7386 0.0826  3 Ge 2.45-2.60
Pd: 0.0894 0.0826 0.7386  3 Ge 2.45-2.60
Pd: 0.4713 0.7787 0.7787  3 Ge 2.49-2.61
Pd: 0.5287 0.2213 0.2213  3 Ge 2.49-2.61
Pd: 0.7500 0.5000 0.5000  4 Ge 2.51
Pd: 0.2500 0.5000 0.5000  4 Ge 2.51
Pd: 0.0287 0.2213 0.2213  3 Ge 2.49-2.61
Pd: 0.9713 0.7787 0.7787  3 Ge 2.49-2.61


Entry 10:
Below is a relaxed structure of Na3Er2RuO6, with properties calculated at the PBE level.

Output
The total moment comes out at 1.01 μB per formula unit. Its final energy is -6.55 eV per atom. As for the uncorrected formation energy: -2561 kJ/mol of formula units.

Lattice parameters (Å, degrees): 5.6362 5.6362 5.8765 99.08 99.08 119.64
Closest atoms and distances in Å follow each position.
Fractional positions:
Na: 0.1585 0.8415 0.5000  6 O 2.41-2.57
Na: 0.8415 0.1585 0.5000  6 O 2.41-2.57
Na: 0.5000 0.5000 0.5000  6 O 2.43-2.55
Er: 0.3311 0.6689 0.0000  6 O 2.25-2.27
Er: 0.6689 0.3311 0.0000  6 O 2.25-2.27
Ru: 0.0000 0.0000 0.0000  6 O 2.14-2.18
O: 0.9266 0.6060 0.7840  1 Ru 2.18, 2 Er 2.25-2.26, 2 Na 2.43
O: 0.7512 0.7512 0.2081  1 Ru 2.14, 2 Er 2.27
O: 0.0734 0.3940 0.2160  1 Ru 2.18, 2 Er 2.25-2.26, 2 Na 2.43
O: 0.6060 0.9266 0.7840  1 Ru 2.18, 2 Er 2.25-2.26, 2 Na 2.43
O: 0.2488 0.2488 0.7919  1 Ru 2.14, 2 Er 2.27
O: 0.3940 0.0734 0.2160  1 Ru 2.18, 2 Er 2.25-2.26, 2 Na 2.43


Entry 11:
Below is a relaxed structure of MgMn2Cr, with properties calculated at the PBE level.

Output
The total moment comes out at 2.06 μB per formula unit. Its final energy is -7.06 eV per atom.

Lattice parameters (Å, degrees): 4.2711 4.2711 4.2711 60.00 60.00 60.00
Closest atoms and distances in Å follow each position.
Fractional positions:
Cr: 0.5000 0.5000 0.5000  4 Mn 2.62, 4 Mg 2.62
Mg: 0.7500 0.7500 0.7500  4 Cr 2.62, 4 Mn 2.62
Mn: 0.0000 0.0000 0.0000  4 Mg 2.62, 4 Mn 2.62
Mn: 0.2500 0.2500 0.2500  4 Cr 2.62, 4 Mn 2.62


Entry 12:
Below is a relaxed structure of Cs2TlO2, with properties calculated at the PBE level.

Output
The total moment comes out at 0.68 μB per formula unit. Its final energy is -3.68 eV per atom. As for the uncorrected formation energy: -425 kJ/mol of formula units. The value obtained for the energy above the lowest structure with this stoichiometry is 0.000 eV/atom.

Lattice parameters (Å, degrees): 6.3851 7.3407 8.3708 63.65 67.58 64.22
Closest atoms and distances in Å follow each position.
Fractional positions:
Cs: 0.3284 0.7593 0.5839  4 O 2.91-3.20
Cs: 0.6716 0.2407 0.4161  4 O 2.91-3.20
Cs: 0.9816 0.2891 0.7478  2 O 2.91-2.97
Cs: 0.0184 0.7109 0.2522  2 O 2.91-2.97
Tl: 0.6478 0.8110 0.8934  3 O 2.26-2.34
Tl: 0.3522 0.1890 0.1066  3 O 2.26-2.34
O: 0.8116 0.7557 0.6210  1 Tl 2.26
O: 0.1884 0.2443 0.3790  1 Tl 2.26
O: 0.4932 0.8197 0.1939  2 Tl 2.31-2.34
O: 0.5068 0.1803 0.8061  2 Tl 2.31-2.34


- Which of these has the highest final energy?
  DyMg3Co


- Look up the final energy of the eighth one.
  -4.69 eV per atom